(1)
Here is a relaxed AcGa2Si crystal from the Alexandria database. Energies are from PBE.

Cell lengths 4.4805, 4.4805, 4.7377 Å; angles 90.00, 90.00, 90.00 degrees
Space group P4/mmm (No. 123)
Inequivalent atoms, fractional coordinates:
Ac1 0.0000 0.0000 0.0000
Ga1 0.0000 0.5000 0.5000
Si1 0.5000 0.5000 0.0000

Output
As for the energy relative to the elements, uncorrected: -244 meV per atom. The offset from the most stable computed form is 216 meV per atom.

***

(2)
Here is a relaxed PbW2Au crystal from the Alexandria database. Energies are from PBE.

Cell lengths 2.9931, 2.9931, 28.7615 Å; angles 90.00, 90.00, 120.00 degrees
Space group R-3m (No. 166, hexagonal axes)
Inequivalent atoms, fractional coordinates:
Pb1 0.0000 0.0000 0.0000
W1 0.0000 0.0000 0.2458
Au1 0.0000 0.0000 0.5000

Output
The formation enthalpy at 0 K is 0.91 eV per atom.

***

| no. | E_tot (eV per atom) |
| --- | --- |
| 1 | -4.140 |
| 2 | -7.313 |